(1)
Here is Er3Cd2Co after structural relaxation from Alexandria via LeMat-Bulk. Energies are from PBE-GGA.

Cell: 4.9768 7.8220 7.4783 Å, 90.00 90.01 71.45°
With the nearest neighbours (Å) after each atom.
Element x y z (fractional)
Er (0.8252, 0.3499, 0.7810)  3 Co 2.93-2.99, 4 Cd 3.07-3.26, 1 Er 3.28
Er (0.5000, 0.0000, 0.2297)  2 Co 2.95, 6 Cd 3.02-3.21
Er (0.1748, 0.6501, 0.2190)  3 Co 2.93-2.99, 4 Cd 3.07-3.26, 1 Er 3.28
Er (0.8249, 0.3499, 0.2190)  3 Co 2.93-2.99, 4 Cd 3.07-3.26, 1 Er 3.28
Er (0.1751, 0.6501, 0.7810)  3 Co 2.93-2.99, 4 Cd 3.07-3.26, 1 Er 3.28
Er (0.5000, 0.0000, 0.7703)  2 Co 2.95, 6 Cd 3.02-3.21
Cd (0.0000, 0.0000, 0.0000)  8 Er 3.02-3.07
Cd (0.0000, 0.0000, 0.5000)  8 Er 3.21-3.34, 4 Cd 3.49
Cd (0.3350, 0.3299, 0.5000)  8 Er 3.17-3.26, 4 Cd 3.49-3.54
Cd (0.6650, 0.6701, 0.5000)  8 Er 3.17-3.26, 4 Cd 3.49-3.54
Co (0.3387, 0.3226, 0.0000)  8 Er 2.93-2.99
Co (0.6613, 0.6774, 0.0000)  8 Er 2.93-2.99

Calculated values
Space group: Cmmm
E above lowest polymorph: 0 meV/atom
Energy of formation: -265 meV/atom

(2)
Here is Ba4Zn3In after structural relaxation from Alexandria via LeMat-Bulk. Energies are from PBE-GGA.

Cell: 5.3555 4.7844 11.6535 Å, 90.00 90.00 90.00°
With the nearest neighbours (Å) after each atom.
Element x y z (fractional)
Ba (0.5000, 0.5000, 0.3595)  6 Zn 3.45-3.77, 1 In 3.58
Ba (0.0000, 0.5000, 0.8461)  5 Zn 3.50-3.76, 2 In 3.60
Ba (0.0000, 0.0000, 0.1481)  3 Zn 3.59-3.61, 4 In 3.76
Ba (0.5000, 0.0000, 0.6470)  7 Zn 3.45-3.78
Zn (0.0000, 0.5000, 0.5461)  2 Zn 2.60
Zn (0.0000, 0.0000, 0.4582)  2 Zn 2.60
Zn (0.5000, 0.0000, 0.9430)  2 In 2.71
In (0.5000, 0.5000, 0.0520)  2 Zn 2.71

Calculated values
Space group: Pmm2
E above lowest polymorph: 9 meV/atom
Energy of formation: -214 meV/atom

(3)
Here is Be2CrI after structural relaxation from Alexandria via LeMat-Bulk. Energies are from PBE-GGA.

Cell: 4.4288 4.4288 4.4288 Å, 60.00 60.00 60.00°
With the nearest neighbours (Å) after each atom.
Element x y z (fractional)
I (0.5000, 0.5000, 0.5000)  8 Be 2.71
Cr (0.0000, 0.0000, 0.0000)  8 Be 2.71
Be (0.2500, 0.2500, 0.2500)  4 Cr 2.71, 4 I 2.71
Be (0.7500, 0.7500, 0.7500)  4 I 2.71, 4 Cr 2.71

Calculated values
Space group: Fm-3m
E above lowest polymorph: 2 meV/atom
Raw formation energy: 1.239 eV per atom

(4)
Here is Cr2TeOs2 after structural relaxation from Alexandria via LeMat-Bulk. Energies are from PBE-GGA.

Cell: 3.9229 3.9229 6.1717 Å, 71.47 71.47 90.00°
With the nearest neighbours (Å) after each atom.
Element x y z (fractional)
Cr (0.7500, 0.2500, 0.5000)  4 Os 2.40
Cr (0.2500, 0.7500, 0.5000)  4 Os 2.40
Te (0.0000, 0.0000, 0.0000)  8 Os 3.09, 8 Cr 3.38
Os (0.3756, 0.3756, 0.2488)  4 Cr 2.40
Os (0.6244, 0.6244, 0.7512)  4 Cr 2.40

Calculated values
Space group: I4/mmm
E above lowest polymorph: 79 meV/atom
Raw formation energy: 0.521 eV per atom

(5)
Here is TiZnCrRh after structural relaxation from Alexandria via LeMat-Bulk. Energies are from PBE-GGA.

Cell: 4.3234 4.3234 4.3234 Å, 60.00 60.00 60.00°
With the nearest neighbours (Å) after each atom.
Element x y z (fractional)
Cr (0.5000, 0.5000, 0.5000)  4 Zn 2.65, 4 Ti 2.65
Zn (0.7500, 0.7500, 0.7500)  4 Cr 2.65, 4 Rh 2.65
Rh (0.0000, 0.0000, 0.0000)  4 Ti 2.65, 4 Zn 2.65
Ti (0.2500, 0.2500, 0.2500)  4 Cr 2.65, 4 Rh 2.65

Calculated values
Space group: F-43m
Energy of formation: -348 meV/atom

(6)
Here is Ce2CoB2Ru5 after structural relaxation from Alexandria via LeMat-Bulk. Energies are from PBE-GGA.

Cell: 3.0957 9.6070 9.6070 Å, 90.00 90.00 90.00°
With the nearest neighbours (Å) after each atom.
Element x y z (fractional)
Ce (0.0000, 0.6778, 0.1778)  3 B 2.72-2.93, 10 Ru 2.87-3.01
Ce (0.0000, 0.3222, 0.8222)  3 B 2.72-2.93, 10 Ru 2.87-3.01
Ce (0.0000, 0.1778, 0.3222)  3 B 2.72-2.93, 10 Ru 2.87-3.01
Ce (0.0000, 0.8222, 0.6778)  3 B 2.72-2.93, 10 Ru 2.87-3.01
Co (0.0000, 0.0000, 0.0000)  8 Ru 2.68
Co (0.0000, 0.5000, 0.5000)  8 Ru 2.68
B (0.0000, 0.1223, 0.6223)  6 Ru 2.24-2.27
B (0.0000, 0.8777, 0.3777)  6 Ru 2.24-2.27
B (0.0000, 0.6223, 0.8777)  6 Ru 2.24-2.27
B (0.0000, 0.3777, 0.1223)  6 Ru 2.24-2.27
Ru (0.5000, 0.2173, 0.0701)  2 B 2.24
Ru (0.5000, 0.7827, 0.9299)  2 B 2.24
Ru (0.5000, 0.0701, 0.7827)  2 B 2.24
Ru (0.5000, 0.7173, 0.4299)  2 B 2.24
Ru (0.5000, 0.9299, 0.2173)  2 B 2.24
Ru (0.5000, 0.2827, 0.5701)  2 B 2.24
Ru (0.5000, 0.5701, 0.7173)  2 B 2.24
Ru (0.5000, 0.4299, 0.2827)  2 B 2.24
Ru (0.5000, 0.5000, 0.0000)  4 B 2.27
Ru (0.5000, 0.0000, 0.5000)  4 B 2.27

Calculated values
Space group: P4/mbm
Energy of formation: -340 meV/atom

(7)
Here is LaFeP2 after structural relaxation from Alexandria via LeMat-Bulk. Energies are from PBE-GGA.

Cell: 6.6016 6.6016 6.6016 Å, 149.45 150.29 43.14°
With the nearest neighbours (Å) after each atom.
Element x y z (fractional)
Fe (0.5503, 0.5503, 0.0000)  2 P 2.21
La (0.2957, 0.7957, 0.5000)  6 P 2.94-2.96
P (0.9930, 0.9930, 0.0000)  4 Fe 2.53, 2 P 2.67
P (0.6610, 0.1610, 0.5000)  2 Fe 2.21

Calculated values
Space group: Imm2
E above lowest polymorph: 397 meV/atom
Energy of formation: -473 meV/atom

(8)
Here is RbGd3F10 after structural relaxation from Alexandria via LeMat-Bulk. Energies are from PBE-GGA.

Cell: 8.4320 8.4320 8.4320 Å, 60.00 60.00 60.00°
With the nearest neighbours (Å) after each atom.
Element x y z (fractional)
Rb (0.2500, 0.2500, 0.2500)  4 F 2.87
Rb (0.7500, 0.7500, 0.7500)  4 F 2.87
Gd (0.7599, 0.2401, 0.2401)  8 F 2.27-2.42
Gd (0.2401, 0.7599, 0.7599)  8 F 2.27-2.42
Gd (0.2401, 0.7599, 0.2401)  8 F 2.27-2.42
Gd (0.7599, 0.2401, 0.7599)  8 F 2.27-2.42
Gd (0.2401, 0.2401, 0.7599)  8 F 2.27-2.42
Gd (0.7599, 0.7599, 0.2401)  8 F 2.27-2.42
F (0.8298, 0.5000, 0.5000)  2 Gd 2.27
F (0.1702, 0.5000, 0.5000)  2 Gd 2.27
F (0.5000, 0.8298, 0.1702)  2 Gd 2.27
F (0.5000, 0.1702, 0.8298)  2 Gd 2.27
F (0.5000, 0.8298, 0.5000)  2 Gd 2.27
F (0.1702, 0.5000, 0.8298)  2 Gd 2.27
F (0.5000, 0.1702, 0.5000)  2 Gd 2.27
F (0.8298, 0.5000, 0.1702)  2 Gd 2.27
F (0.5000, 0.5000, 0.8298)  2 Gd 2.27
F (0.5000, 0.5000, 0.1702)  2 Gd 2.27
F (0.1702, 0.8298, 0.5000)  2 Gd 2.27
F (0.8298, 0.1702, 0.5000)  2 Gd 2.27
F (0.1109, 0.1109, 0.1109)  3 Gd 2.42, 3 F 2.64
F (0.8891, 0.8891, 0.8891)  3 Gd 2.42, 3 F 2.64
F (0.1109, 0.1109, 0.6674)  3 Gd 2.42, 3 F 2.64
F (0.1109, 0.6674, 0.1109)  3 Gd 2.42, 3 F 2.64
F (0.8891, 0.8891, 0.3326)  3 Gd 2.42, 3 F 2.64
F (0.8891, 0.3326, 0.8891)  3 Gd 2.42, 3 F 2.64
F (0.6674, 0.1109, 0.1109)  3 Gd 2.42, 3 F 2.64
F (0.3326, 0.8891, 0.8891)  3 Gd 2.42, 3 F 2.64

Calculated values
Space group: Fm-3m
Raw formation energy: -3.924 eV per atom

(9)
Here is Be2CrPt after structural relaxation from Alexandria via LeMat-Bulk. Energies are from PBE-GGA.

Cell: 4.4787 4.4787 4.0911 Å, 71.93 71.93 34.11°
With the nearest neighbours (Å) after each atom.
Element x y z (fractional)
Cr (0.4890, 0.4890, 0.5528)  7 Be 2.40-2.47, 2 Cr 2.63, 2 Pt 2.68
Pt (0.2639, 0.2639, 0.1978)  7 Be 2.42-2.46, 2 Pt 2.63, 2 Cr 2.68
Be (0.0152, 0.0152, 0.0256)  2 Be 2.28, 4 Cr 2.41-2.47, 3 Pt 2.42-2.45
Be (0.7318, 0.7318, 0.7238)  2 Be 2.28, 3 Cr 2.40-2.46, 4 Pt 2.43-2.46

Calculated values
Space group: Cm
Energy of formation: -170 meV/atom

(10)
Here is V3Ni2Pd8 after structural relaxation from Alexandria via LeMat-Bulk. Energies are from PBE-GGA.

Cell: 5.1629 5.1629 9.4515 Å, 74.15 74.15 60.00°
With the nearest neighbours (Å) after each atom.
Element x y z (fractional)
V (0.0000, 0.0000, 0.0000)  6 Ni 3.10, 12 Pd 3.32-3.35
V (0.8114, 0.8114, 0.5658)  4 Pd 2.37-2.58
V (0.1886, 0.1886, 0.4342)  4 Pd 2.37-2.58
Ni (0.6351, 0.6351, 0.0947)  4 Pd 2.38-2.59
Ni (0.3649, 0.3649, 0.9053)  4 Pd 2.38-2.59
Pd (0.7234, 0.7234, 0.8298)  1 V 2.37, 1 Ni 2.38
Pd (0.2766, 0.2766, 0.1702)  1 V 2.37, 1 Ni 2.38
Pd (0.2238, 0.7225, 0.3311)  4 Pd 2.57-2.59, 3 V 2.58-2.74, 1 Ni 2.59
Pd (0.7225, 0.2238, 0.3311)  4 Pd 2.57-2.59, 3 V 2.58-2.74, 1 Ni 2.59
Pd (0.7225, 0.7225, 0.3311)  4 Pd 2.57-2.59, 3 V 2.58-2.74, 1 Ni 2.59
Pd (0.2775, 0.7762, 0.6689)  4 Pd 2.57-2.59, 3 V 2.58-2.74, 1 Ni 2.59
Pd (0.7762, 0.2775, 0.6689)  4 Pd 2.57-2.59, 3 V 2.58-2.74, 1 Ni 2.59
Pd (0.2775, 0.2775, 0.6689)  4 Pd 2.57-2.59, 3 V 2.58-2.74, 1 Ni 2.59

Calculated values
Space group: R-3m
Energy of formation: 219 meV/atom

(11)
Here is BSeF after structural relaxation from Alexandria via LeMat-Bulk. Energies are from PBE-GGA.

Cell: 5.8811 3.2927 6.6823 Å, 90.00 114.61 90.00°
With the nearest neighbours (Å) after each atom.
Element x y z (fractional)
B (0.5459, 0.2500, 0.8561)  1 F 1.35
B (0.4541, 0.7500, 0.1439)  1 F 1.35
Se (0.7009, 0.2500, 0.2101)  3 B 2.12-2.15
Se (0.2991, 0.7500, 0.7899)  3 B 2.12-2.15
F (0.7073, 0.2500, 0.7593)  1 B 1.35
F (0.2927, 0.7500, 0.2407)  1 B 1.35

Calculated values
Space group: P2_1/m
E above lowest polymorph: 36 meV/atom
Raw formation energy: -1.268 eV per atom

(12)
Here is Zr2SiIr after structural relaxation from Alexandria via LeMat-Bulk. Energies are from PBE-GGA.

Cell: 3.0126 3.0129 7.8973 Å, 90.00 90.00 90.00°
With the nearest neighbours (Å) after each atom.
Element x y z (fractional)
Ir (0.0000, 0.0000, 0.5470)  4 Si 2.50
Si (0.5000, 0.5000, 0.7129)  4 Ir 2.50
Zr (0.0000, 0.0000, 0.9573)  4 Si 2.87, 4 Zr 3.01
Zr (0.5000, 0.5000, 0.2828)  4 Ir 2.98, 8 Zr 3.01-3.34

Calculated values
Space group: P4mm
Raw formation energy: -0.505 eV per atom

How do the records compare in volume? In the order shown, they have 23.0 37.3 15.4 17.0 14.3 14.3 18.1 15.1 10.9 15.9 19.6 17.9 Å³/atom.
How do the records compare in final energy? In the order shown, they have -48.4 -16.0 -13.7 -42.2 -27.5 -164.2 -26.1 -233.7 -23.8 -77.6 -31.7 -33.4 eV per cell.
How do the records compare in size of the total moment? In the order shown, they have 0.06 0.00 0.77 0.00 0.75 0.23 0.22 1.50 0.00 0.20 0.00 0.00 μB/atom.